## LaFeHN2 (PBE-GGA)

Data for crystalline LaFeHN2 at its relaxed geometry.

The value obtained for the calculated total energy is -7.2433 eV per atom. The calculation puts the magnetic moment at 1.78 μB per cell.

The structure belongs to space group P4/mmm (No. 123); the cell edges are 3.852, 3.852 and 3.566 Å and the angles 90.00°, 90.00° and 90.00°. The distinct sites, in fractional coordinates, are La at (0.000, 0.000, 0.000), Fe at (0.500, 0.500, 0.500), H at (0.500, 0.500, 0.000) and N at (0.000, 0.500, 0.500).